# 1
A relaxed Sr3Ga5Te12 crystal. Source: Alexandria, functional PBE. Values from VASP.

Geometry as Quantum ESPRESSO input:
```
&SYSTEM
  ibrav = 0, nat = 80, ntyp = 3
/
ATOMIC_SPECIES
Sr 87.62 Sr.upf
Ga 69.72 Ga.upf
Te 127.60 Te.upf
CELL_PARAMETERS angstrom
-8.807 8.807 8.807
8.807 -8.807 8.807
8.807 8.807 -8.807
ATOMIC_POSITIONS crystal
Sr 0.125 0.250 0.375
Sr 0.125 0.375 0.750
Sr 0.250 0.375 0.125
Sr 0.250 0.875 0.625
Sr 0.375 0.125 0.250
Sr 0.375 0.750 0.125
Sr 0.625 0.250 0.875
Sr 0.625 0.875 0.750
Sr 0.750 0.125 0.375
Sr 0.750 0.625 0.875
Sr 0.875 0.625 0.250
Sr 0.875 0.750 0.625
Ga 0.000 0.000 0.000
Ga 0.000 0.000 0.500
Ga 0.000 0.500 0.000
Ga 0.000 0.500 0.500
Ga 0.125 0.750 0.875
Ga 0.125 0.875 0.250
Ga 0.250 0.125 0.875
Ga 0.250 0.625 0.375
Ga 0.375 0.250 0.625
Ga 0.375 0.625 0.750
Ga 0.500 0.000 0.000
Ga 0.500 0.000 0.500
Ga 0.500 0.500 0.000
Ga 0.500 0.500 0.500
Ga 0.625 0.375 0.250
Ga 0.625 0.750 0.375
Ga 0.750 0.375 0.625
Ga 0.750 0.875 0.125
Ga 0.875 0.125 0.750
Ga 0.875 0.250 0.125
Te 0.029 0.206 0.118
Te 0.029 0.323 0.912
Te 0.088 0.618 0.411
Te 0.088 0.971 0.677
Te 0.089 0.706 0.677
Te 0.089 0.882 0.412
Te 0.118 0.029 0.206
Te 0.118 0.588 0.911
Te 0.177 0.206 0.589
Te 0.177 0.471 0.588
Te 0.206 0.118 0.029
Te 0.206 0.589 0.177
Te 0.294 0.323 0.911
Te 0.294 0.471 0.382
Te 0.323 0.911 0.294
Te 0.323 0.912 0.029
Te 0.382 0.294 0.471
Te 0.382 0.589 0.912
Te 0.411 0.088 0.618
Te 0.411 0.823 0.794
Te 0.412 0.089 0.882
Te 0.412 0.823 0.529
Te 0.471 0.382 0.294
Te 0.471 0.588 0.177
Te 0.529 0.412 0.823
Te 0.529 0.618 0.706
Te 0.588 0.177 0.471
Te 0.588 0.911 0.118
Te 0.589 0.177 0.206
Te 0.589 0.912 0.382
Te 0.618 0.411 0.088
Te 0.618 0.706 0.529
Te 0.677 0.088 0.971
Te 0.677 0.089 0.706
Te 0.706 0.529 0.618
Te 0.706 0.677 0.089
Te 0.794 0.411 0.823
Te 0.794 0.882 0.971
Te 0.823 0.529 0.412
Te 0.823 0.794 0.411
Te 0.882 0.412 0.089
Te 0.882 0.971 0.794
Te 0.911 0.118 0.588
Te 0.911 0.294 0.323
Te 0.912 0.029 0.323
Te 0.912 0.382 0.589
Te 0.971 0.677 0.088
Te 0.971 0.794 0.882
```

## Properties
total magnetic moment	0.00	μB/atom
space-group type	No. 230
E_tot	-3.448	eV per atom
ρ	5.21	g cm⁻³


# 2
A relaxed Tm2Cd5Hg12 crystal. Source: Alexandria, functional PBE. Values from VASP.

Geometry as Quantum ESPRESSO input:
```
&SYSTEM
  ibrav = 0, nat = 19, ntyp = 3
/
ATOMIC_SPECIES
Tm 168.93 Tm.upf
Cd 112.41 Cd.upf
Hg 200.59 Hg.upf
CELL_PARAMETERS angstrom
7.479 -4.885 0.000
7.479 4.885 0.000
-0.355 0.000 6.498
ATOMIC_POSITIONS crystal
Tm 0.240 0.760 0.000
Tm 0.760 0.240 0.000
Cd 0.163 0.163 0.876
Cd 0.269 0.269 0.483
Cd 0.500 0.500 0.500
Cd 0.731 0.731 0.517
Cd 0.837 0.837 0.124
Hg 0.034 0.575 0.800
Hg 0.046 0.046 0.293
Hg 0.147 0.639 0.383
Hg 0.361 0.853 0.617
Hg 0.385 0.385 0.942
Hg 0.425 0.966 0.200
Hg 0.575 0.034 0.800
Hg 0.615 0.615 0.058
Hg 0.639 0.147 0.383
Hg 0.853 0.361 0.617
Hg 0.954 0.954 0.707
Hg 0.966 0.425 0.200
```

## Properties
total magnetic moment	0.00	μB/atom
formation enthalpy at 0 K	-144.7	kJ/mol of formula units
space-group type	No. 12
energy above the most stable polymorph in this dataset	11	meV/atom
ρ	11.57	g cm⁻³